[1]
Na6Np4Cl19 (PBE, optimized geometry); spin magnetization = 15.0 μB/f.u.; space-group type = I23; formation energy (no corrections) = -1.70 eV per atom; ρ = 3.37 Mg/m³
1.0
-9.656 -0.188 3.866
5.726 -7.361 4.611
4.262 9.324 1.768
Cl Np Na
19 4 6
Cartesian
-5.037 -2.836 7.096 Cl
-3.945 6.682 4.121 Cl
0.961 2.725 4.124 Cl
7.306 1.436 4.666 Cl
2.682 0.527 1.713 Cl
0.000 0.000 0.000 Cl
-1.913 4.020 6.338 Cl
-1.449 2.453 1.513 Cl
-1.056 -2.027 2.277 Cl
3.900 4.321 2.211 Cl
-1.977 0.509 4.602 Cl
-5.164 1.882 2.927 Cl
3.778 1.554 6.581 Cl
6.289 -1.451 6.490 Cl
-1.207 -2.060 7.368 Cl
1.452 -0.903 4.736 Cl
-0.645 7.533 5.158 Cl
-2.875 -5.522 6.201 Cl
1.554 -4.649 3.841 Cl
3.063 6.701 1.271 Np
4.115 -5.290 3.314 Np
0.093 0.499 2.883 Np
-6.940 -0.135 2.779 Np
3.441 3.612 4.812 Na
-3.109 -1.838 5.433 Na
4.161 -0.619 4.987 Na
0.911 -3.209 6.076 Na
-3.829 2.394 5.259 Na
-0.579 4.984 4.170 Na

---

[2]
Rb2ScPdI6 (PBE, optimized geometry); spin magnetization = 1.0 μB/f.u.; space-group type = I4/mmm; formation energy (no corrections) = -1.01 eV per atom; ρ = 4.54 Mg/m³
1.0
-0.647 8.078 -1.559
-8.084 -0.334 1.621
-3.291 5.038 5.629
I Sc Pd Rb
6 1 1 2
Cartesian
-2.511 5.969 -0.762 I
-8.194 8.326 2.859 I
-2.189 1.941 0.016 I
-3.828 4.455 2.832 I
-6.542 5.802 0.046 I
-6.220 1.774 0.824 I
-4.366 3.872 0.031 Sc
0.000 0.000 0.000 Pd
-4.152 8.494 2.050 Rb
-7.871 4.288 3.640 Rb

---

[3]
Pm4Y15Tl (PBE, optimized geometry); spin magnetization = 0.4 μB/f.u.; space-group type = P4/mmm; formation energy from the elements = -0.014 eV/atom; ρ = 5.48 Mg/m³
1.0
5.019 0.000 0.000
0.000 5.019 0.000
0.000 0.000 25.464
Y Tl Pm
15 1 4
Cartesian
2.510 0.000 17.877 Y
2.510 2.510 10.148 Y
0.000 2.510 12.732 Y
2.510 2.510 15.316 Y
2.510 0.000 7.587 Y
2.510 2.510 20.514 Y
0.000 2.510 2.442 Y
0.000 2.510 17.877 Y
0.000 2.510 7.587 Y
2.510 2.510 0.000 Y
0.000 2.510 23.021 Y
2.510 0.000 2.442 Y
2.510 2.510 4.950 Y
2.510 0.000 12.732 Y
2.510 0.000 23.021 Y
0.000 0.000 0.000 Tl
0.000 0.000 20.422 Pm
0.000 0.000 10.151 Pm
0.000 0.000 15.313 Pm
0.000 0.000 5.042 Pm

---

[4]
Er2Ga6Ni (PBE, optimized geometry); spin magnetization = 0.0 μB/f.u.; space-group type = Amm2; formation energy from the elements = -0.402 eV/atom; ρ = 7.70 Mg/m³
1.0
-1.376 3.273 -2.132
-3.394 -0.647 1.197
2.625 5.144 10.223
Ga Er Ni
6 2 1
Cartesian
-1.282 1.129 2.560 Ga
-0.853 2.632 4.589 Ga
-0.318 2.931 0.683 Ga
-0.894 6.535 6.584 Ga
0.124 4.481 2.775 Ga
0.038 5.751 8.801 Ga
1.238 8.379 8.040 Er
1.268 4.438 5.994 Er
-1.296 5.126 4.682 Ni

---

[5]
GeRuN2 (PBE, optimized geometry); spin magnetization = 0.0 μB/f.u.; space-group type = R-3m; formation energy (no corrections) = 0.49 eV per atom; ρ = 7.41 Mg/m³
1.0
1.685 0.000 6.127
-0.843 1.460 6.127
-0.843 -1.460 6.127
Ge N Ru
1 2 1
Cartesian
0.000 0.000 9.190 Ge
0.000 0.000 16.430 N
0.000 0.000 1.950 N
0.000 0.000 0.000 Ru

---

[6]
CdGePd2 (PBE, optimized geometry); spin magnetization = 0.0 μB/f.u.; space-group type = Pnma; formation energy from the elements = -0.384 eV/atom; ρ = 9.56 Mg/m³
1.0
5.959 0.000 0.000
0.000 7.263 0.000
0.000 0.000 6.386
Cd Pd Ge
4 8 4
Cartesian
4.893 5.447 3.092 Cd
4.045 5.447 6.285 Cd
1.066 1.816 3.294 Cd
1.913 1.816 0.101 Cd
0.400 6.921 5.032 Pd
5.559 3.290 1.354 Pd
3.380 3.290 4.548 Pd
5.559 0.342 1.354 Pd
0.400 3.973 5.032 Pd
2.579 6.921 1.839 Pd
3.380 0.342 4.548 Pd
2.579 3.973 1.839 Pd
3.856 1.816 2.483 Ge
2.102 5.447 3.903 Ge
5.082 1.816 5.676 Ge
0.877 5.447 0.710 Ge

---

[7]
NaTb2PbSe4 (PBE, optimized geometry); spin magnetization = 0.0 μB/f.u.; space-group type = Imma; formation energy (no corrections) = -1.39 eV per atom; ρ = 6.68 Mg/m³
1.0
-1.700 -6.371 5.304
1.907 -5.603 -6.048
5.612 6.059 2.193
Se Tb Na Pb
8 4 2 2
Cartesian
1.073 -5.879 -3.151 Se
4.746 -0.035 4.600 Se
2.899 0.103 1.020 Se
3.904 -2.844 -2.132 Se
2.920 -6.017 0.429 Se
0.249 -8.902 -0.615 Se
5.570 2.988 2.064 Se
1.915 -3.070 3.581 Se
0.104 -5.987 -0.372 Tb
2.806 3.030 1.096 Tb
1.956 -0.156 3.748 Tb
-0.850 -3.185 2.652 Tb
2.910 -2.957 0.724 Na
3.912 -0.311 7.497 Na
0.953 -2.801 -3.024 Pb
2.060 -6.142 3.376 Pb

---

[8]
Pm12Ge7Bi (PBE, optimized geometry); spin magnetization = 3.9 μB/f.u.; space-group type = Im-3; formation energy from the elements = -0.487 eV/atom; ρ = 6.25 Mg/m³
1.0
9.468 0.000 0.000
-3.156 8.926 0.000
-3.156 -4.463 7.730
Ge Pm Bi
7 12 1
Cartesian
3.156 4.463 0.000 Ge
-1.578 4.463 0.000 Ge
3.156 -2.232 3.865 Ge
-3.156 2.232 3.865 Ge
-1.578 -2.232 3.865 Ge
4.734 0.000 0.000 Ge
1.578 2.232 3.865 Ge
3.184 -2.252 6.795 Pm
0.764 -0.540 3.831 Pm
6.340 -0.296 2.383 Pm
-0.764 3.047 2.383 Pm
-3.184 4.759 5.347 Pm
3.920 1.416 5.347 Pm
-2.392 -0.876 6.283 Pm
2.392 5.003 3.900 Pm
3.128 1.916 1.448 Pm
-0.028 6.715 0.935 Pm
0.028 2.547 6.283 Pm
5.548 5.339 1.448 Pm
0.000 0.000 0.000 Bi